Record 1
# Sr2LiIr, relaxed, DFT PBE
data_Sr2LiIr
_chemical_formula_sum 'Sr2 Li1 Ir1'
_symmetry_space_group_name_H-M 'P 4 m m'
_symmetry_Int_Tables_number 99
_symmetry_space_group_name_Hall 'P 4 -2'
_cell_length_a 3.6202
_cell_length_b 3.6202
_cell_length_c 8.5052
_cell_angle_alpha 90.00
_cell_angle_beta 90.00
_cell_angle_gamma 90.00
loop_
_atom_site_label
_atom_site_type_symbol
_atom_site_fract_x
_atom_site_fract_y
_atom_site_fract_z
Sr1 Sr 0.0000 0.0000 0.0000
Sr2 Sr 0.5000 0.5000 0.4244
Li1 Li 0.5000 0.5000 0.7522
Ir1 Ir 0.0000 0.0000 0.6495
# **Uncorrected energy**: -3.454 eV/atom
# **Size of the total moment**: 0.00 μB/f.u.

Record 2
# CrSbS2, relaxed, DFT PBE
data_CrSbS2
_chemical_formula_sum 'Cr1 Sb1 S2'
_symmetry_space_group_name_H-M 'P 1'
_symmetry_Int_Tables_number 1
_symmetry_space_group_name_Hall 'P 1'
_cell_length_a 3.2276
_cell_length_b 3.2279
_cell_length_c 8.5159
_cell_angle_alpha 79.27
_cell_angle_beta 79.17
_cell_angle_gamma 60.01
loop_
_atom_site_label
_atom_site_type_symbol
_atom_site_fract_x
_atom_site_fract_y
_atom_site_fract_z
Cr1 Cr 0.0000 0.0000 0.0000
Sb1 Sb 0.5052 0.5113 0.4855
S1 S 0.6120 0.6132 0.1645
S2 S 0.7231 0.7215 0.8305
# **Uncorrected energy**: -5.824 eV/atom
# **Size of the total moment**: 0.79 μB/f.u.

Record 3
# SrLa2Au6, relaxed, DFT PBE
data_SrLa2Au6
_chemical_formula_sum 'Sr1 La2 Au6'
_symmetry_space_group_name_H-M 'P 6/m m m'
_symmetry_Int_Tables_number 191
_symmetry_space_group_name_Hall '-P 6 2'
_cell_length_a 8.3459
_cell_length_b 8.3459
_cell_length_c 3.7246
_cell_angle_alpha 90.00
_cell_angle_beta 90.00
_cell_angle_gamma 120.00
loop_
_atom_site_label
_atom_site_type_symbol
_atom_site_fract_x
_atom_site_fract_y
_atom_site_fract_z
Sr1 Sr 0.0000 0.0000 0.0000
La1 La 0.3333 0.6667 0.0000
Au1 Au 0.0000 0.3340 0.5000
# **Uncorrected energy**: -4.245 eV/atom
# **Size of the total moment**: 0.00 μB/f.u.

Record 4
# AgMo4Br, relaxed, DFT PBE
data_AgMo4Br
_chemical_formula_sum 'Ag4 Mo16 Br4'
_symmetry_space_group_name_H-M 'F -4 3 m'
_symmetry_Int_Tables_number 216
_symmetry_space_group_name_Hall 'F -4 2 3'
_cell_length_a 7.5439
_cell_length_b 7.5439
_cell_length_c 7.5439
_cell_angle_alpha 90.00
_cell_angle_beta 90.00
_cell_angle_gamma 90.00
loop_
_atom_site_label
_atom_site_type_symbol
_atom_site_fract_x
_atom_site_fract_y
_atom_site_fract_z
Ag1 Ag 0.0000 0.0000 0.0000
Mo1 Mo 0.1257 0.1257 0.3743
Br1 Br 0.2500 0.2500 0.7500
# **Uncorrected energy**: -7.053 eV/atom
# **Size of the total moment**: 0.00 μB/f.u.

Record 5
# Cu2SiPt, relaxed, DFT PBE
data_Cu2SiPt
_chemical_formula_sum 'Cu4 Si2 Pt2'
_symmetry_space_group_name_H-M 'C 1 2/m 1'
_symmetry_Int_Tables_number 12
_symmetry_space_group_name_Hall '-C 2y'
_cell_length_a 5.0804
_cell_length_b 9.1094
_cell_length_c 2.7976
_cell_angle_alpha 90.00
_cell_angle_beta 122.91
_cell_angle_gamma 90.00
loop_
_atom_site_label
_atom_site_type_symbol
_atom_site_fract_x
_atom_site_fract_y
_atom_site_fract_z
Cu1 Cu 0.2500 0.2500 0.0000
Si1 Si 0.0000 0.0000 0.0000
Pt1 Pt 0.0000 0.5000 0.0000
# **Uncorrected energy**: -5.046 eV/atom
# **Size of the total moment**: 0.00 μB/f.u.

Record 6
# LiEuHg4, relaxed, DFT PBE
data_LiEuHg4
_chemical_formula_sum 'Li4 Eu4 Hg16'
_symmetry_space_group_name_H-M 'F -4 3 m'
_symmetry_Int_Tables_number 216
_symmetry_space_group_name_Hall 'F -4 2 3'
_cell_length_a 8.5112
_cell_length_b 8.5112
_cell_length_c 8.5112
_cell_angle_alpha 90.00
_cell_angle_beta 90.00
_cell_angle_gamma 90.00
loop_
_atom_site_label
_atom_site_type_symbol
_atom_site_fract_x
_atom_site_fract_y
_atom_site_fract_z
Li1 Li 0.0000 0.0000 0.0000
Eu1 Eu 0.2500 0.2500 0.7500
Hg1 Hg 0.1254 0.1254 0.3746
# **Uncorrected energy**: -2.471 eV/atom
# **Size of the total moment**: 7.15 μB/f.u.

Record 7
# Ac2PrSc, relaxed, DFT PBE
data_Ac2PrSc
_chemical_formula_sum 'Ac6 Pr3 Sc3'
_symmetry_space_group_name_H-M 'R -3 m'
_symmetry_Int_Tables_number 166
_symmetry_space_group_name_Hall '-R 3 2"'
_cell_length_a 3.6906
_cell_length_b 3.6906
_cell_length_c 38.7271
_cell_angle_alpha 90.00
_cell_angle_beta 90.00
_cell_angle_gamma 120.00
loop_
_atom_site_label
_atom_site_type_symbol
_atom_site_fract_x
_atom_site_fract_y
_atom_site_fract_z
Ac1 Ac 0.0000 0.0000 0.0848
Pr1 Pr 0.0000 0.0000 0.5000
Sc1 Sc 0.0000 0.0000 0.0000
# **Distance to the lowest polymorph of the same formula**: 253 meV/atom
# **Size of the total moment**: 0.05 μB/f.u.

Record 8
# MnAl4Cr, relaxed, DFT PBE
data_MnAl4Cr
_chemical_formula_sum 'Mn4 Al16 Cr4'
_symmetry_space_group_name_H-M 'F -4 3 m'
_symmetry_Int_Tables_number 216
_symmetry_space_group_name_Hall 'F -4 2 3'
_cell_length_a 7.1848
_cell_length_b 7.1848
_cell_length_c 7.1848
_cell_angle_alpha 90.00
_cell_angle_beta 90.00
_cell_angle_gamma 90.00
loop_
_atom_site_label
_atom_site_type_symbol
_atom_site_fract_x
_atom_site_fract_y
_atom_site_fract_z
Mn1 Mn 0.0000 0.0000 0.0000
Al1 Al 0.1249 0.1249 0.6249
Cr1 Cr 0.2500 0.2500 0.2500
# **Distance to the lowest polymorph of the same formula**: 99 meV/atom
# **Size of the total moment**: 6.07 μB/f.u.

Record 9
# Pr2Zn2Si, relaxed, DFT PBE
data_Pr2Zn2Si
_chemical_formula_sum 'Pr8 Zn8 Si4'
_symmetry_space_group_name_H-M 'C 1 2/m 1'
_symmetry_Int_Tables_number 12
_symmetry_space_group_name_Hall '-C 2y'
_cell_length_a 11.3280
_cell_length_b 4.1778
_cell_length_c 11.2074
_cell_angle_alpha 90.00
_cell_angle_beta 115.75
_cell_angle_gamma 90.00
loop_
_atom_site_label
_atom_site_type_symbol
_atom_site_fract_x
_atom_site_fract_y
_atom_site_fract_z
Pr1 Pr 0.1024 0.0000 0.3958
Pr2 Pr 0.2046 0.5000 0.1397
Zn1 Zn 0.0378 0.0000 0.9130
Zn2 Zn 0.1243 0.5000 0.6207
Si1 Si 0.0707 0.5000 0.8173
# **Uncorrected energy**: -3.973 eV/atom
# **Size of the total moment**: 0.00 μB/f.u.

Record 10
# Ac3PmPb2, relaxed, DFT PBE
data_Ac3PmPb2
_chemical_formula_sum 'Ac3 Pm1 Pb2'
_symmetry_space_group_name_H-M 'P -4 m 2'
_symmetry_Int_Tables_number 115
_symmetry_space_group_name_Hall 'P -4 -2'
_cell_length_a 4.9608
_cell_length_b 4.9608
_cell_length_c 9.2694
_cell_angle_alpha 90.00
_cell_angle_beta 90.00
_cell_angle_gamma 90.00
loop_
_atom_site_label
_atom_site_type_symbol
_atom_site_fract_x
_atom_site_fract_y
_atom_site_fract_z
Ac1 Ac 0.0000 0.0000 0.0000
Ac2 Ac 0.0000 0.5000 0.6510
Pm1 Pm 0.5000 0.5000 0.0000
Pb1 Pb 0.0000 0.5000 0.2749
# **Distance to the lowest polymorph of the same formula**: 0 meV/atom
# **Size of the total moment**: 0.00 μB/f.u.

Record 11
# EuErBi, relaxed, DFT PBE
data_EuErBi
_chemical_formula_sum 'Eu1 Er1 Bi1'
_symmetry_space_group_name_H-M 'P 3 m 1'
_symmetry_Int_Tables_number 156
_symmetry_space_group_name_Hall 'P 3 -2"'
_cell_length_a 5.2344
_cell_length_b 5.2344
_cell_length_c 4.3190
_cell_angle_alpha 90.00
_cell_angle_beta 90.00
_cell_angle_gamma 120.00
loop_
_atom_site_label
_atom_site_type_symbol
_atom_site_fract_x
_atom_site_fract_y
_atom_site_fract_z
Eu1 Eu 0.0000 0.0000 0.0000
Er1 Er 0.3333 0.6667 0.5151
Bi1 Bi 0.6667 0.3333 0.4407
# **Distance to the lowest polymorph of the same formula**: 100 meV/atom
# **Size of the total moment**: 7.26 μB/f.u.

Record 12
# CsTlC, relaxed, DFT PBE
data_CsTlC
_chemical_formula_sum 'Cs4 Tl4 C4'
_symmetry_space_group_name_H-M 'C 1 m 1'
_symmetry_Int_Tables_number 8
_symmetry_space_group_name_Hall 'C -2y'
_cell_length_a 13.6238
_cell_length_b 4.3078
_cell_length_c 8.8548
_cell_angle_alpha 90.00
_cell_angle_beta 124.62
_cell_angle_gamma 90.00
loop_
_atom_site_label
_atom_site_type_symbol
_atom_site_fract_x
_atom_site_fract_y
_atom_site_fract_z
Cs1 Cs 0.0000 0.0000 0.0000
Cs2 Cs 0.1409 0.0000 0.6818
Tl1 Tl 0.2645 0.5000 0.4390
Tl2 Tl 0.3897 0.0000 0.2689
C1 C 0.2259 0.5000 0.1375
C2 C 0.2442 0.5000 0.0107
# **Uncorrected energy**: -3.794 eV/atom
# **Size of the total moment**: 0.00 μB/f.u.

Record 13
# BeIn3Pd, relaxed, DFT PBE
data_BeIn3Pd
_chemical_formula_sum 'Be1 In3 Pd1'
_symmetry_space_group_name_H-M 'P m -3 m'
_symmetry_Int_Tables_number 221
_symmetry_space_group_name_Hall '-P 4 2 3'
_cell_length_a 5.1655
_cell_length_b 5.1655
_cell_length_c 5.1655
_cell_angle_alpha 90.00
_cell_angle_beta 90.00
_cell_angle_gamma 90.00
loop_
_atom_site_label
_atom_site_type_symbol
_atom_site_fract_x
_atom_site_fract_y
_atom_site_fract_z
Be1 Be 0.0000 0.0000 0.0000
In1 In 0.0000 0.5000 0.5000
Pd1 Pd 0.5000 0.5000 0.5000
# **Distance to the lowest polymorph of the same formula**: 77 meV/atom
# **Size of the total moment**: 0.00 μB/f.u.

Record 14
# LaHo8Tm2, relaxed, DFT PBE
data_LaHo8Tm2
_chemical_formula_sum 'La2 Ho16 Tm4'
_symmetry_space_group_name_H-M 'C 1 2/m 1'
_symmetry_Int_Tables_number 12
_symmetry_space_group_name_Hall '-C 2y'
_cell_length_a 19.1623
_cell_length_b 6.9078
_cell_length_c 5.4791
_cell_angle_alpha 90.00
_cell_angle_beta 92.83
_cell_angle_gamma 90.00
loop_
_atom_site_label
_atom_site_type_symbol
_atom_site_fract_x
_atom_site_fract_y
_atom_site_fract_z
La1 La 0.0000 0.0000 0.0000
Ho1 Ho 0.0471 0.5000 0.2389
Ho2 Ho 0.1355 0.2674 0.7322
Ho3 Ho 0.1898 0.0000 0.2347
Tm1 Tm 0.2151 0.5000 0.2487
# **Distance to the lowest polymorph of the same formula**: 11 meV/atom
# **Size of the total moment**: 0.00 μB/f.u.

Record 15
# Cs2BaCaH6, relaxed, DFT PBE
data_Cs2BaCaH6
_chemical_formula_sum 'Cs4 Ba2 Ca2 H12'
_symmetry_space_group_name_H-M 'P m m n'
_symmetry_Int_Tables_number 59
_cell_length_a 6.8844
_cell_length_b 9.7319
_cell_length_c 6.8780
_cell_angle_alpha 90.00
_cell_angle_beta 90.00
_cell_angle_gamma 90.00
loop_
_symmetry_equiv_pos_as_xyz
'x,y,z'
'-x,-y,-z'
'-x+1/2,-y+1/2,z'
'x+1/2,y+1/2,-z'
'x+1/2,-y,-z'
'-x+1/2,y,z'
'-x,y+1/2,-z'
'x,-y+1/2,z'
loop_
_atom_site_label
_atom_site_type_symbol
_atom_site_fract_x
_atom_site_fract_y
_atom_site_fract_z
Cs1 Cs 0.2500 0.9997 0.2486
Ba1 Ba 0.2500 0.2500 0.7488
Ca1 Ca 0.2500 0.7500 0.7509
H1 H 0.0165 0.7500 0.9846
H2 H 0.0168 0.7500 0.5170
H3 H 0.2500 0.5164 0.7531
# **Uncorrected energy**: -2.930 eV/atom
# **Size of the total moment**: 0.00 μB/f.u.

Record 16
# CaPbW2, relaxed, DFT PBE
data_CaPbW2
_chemical_formula_sum 'Ca3 Pb3 W6'
_symmetry_space_group_name_H-M 'R -3 m'
_symmetry_Int_Tables_number 166
_symmetry_space_group_name_Hall '-R 3 2"'
_cell_length_a 3.0606
_cell_length_b 3.0606
_cell_length_c 30.7291
_cell_angle_alpha 90.00
_cell_angle_beta 90.00
_cell_angle_gamma 120.00
loop_
_atom_site_label
_atom_site_type_symbol
_atom_site_fract_x
_atom_site_fract_y
_atom_site_fract_z
Ca1 Ca 0.0000 0.0000 0.0000
Pb1 Pb 0.0000 0.0000 0.5000
W1 W 0.0000 0.0000 0.2465
# **Uncorrected energy**: -6.730 eV/atom
# **Size of the total moment**: 0.00 μB/f.u.